Entry 1:
NdZn7Cu5, optimized geometry, DFT PBE-GGA; SG = Imm2 (44); DFT formation energy = -0.180 eV/atom; N(E_F) = 6.97 states/eV/f.u.; ρ = 7.8 Mg/m³; E = -2.81 eV/atom
1.0
4.9593 0.0000 0.0000
2.4796 6.2663 -0.0244
2.4796 -0.0446 6.2662
Zn Cu Nd
7 5 1
Cartesian
2.4796 1.3951 1.3996 Zn
4.9593 4.0316 4.0447 Zn
4.9593 1.3205 4.8940 Zn
4.9593 4.8897 1.3363 Zn
7.4389 4.0816 2.2180 Zn
4.9593 2.1591 2.1661 Zn
7.4389 2.2048 4.0887 Zn
3.7192 -0.0174 3.1411 Cu
6.1994 -0.0174 3.1411 Cu
7.4389 4.8165 4.8321 Cu
6.1994 3.1411 -0.0072 Cu
3.7192 3.1411 -0.0072 Cu
4.9593 6.1837 6.2037 Nd

=====

Entry 2:
Nd4Zn2Cu, optimized geometry, DFT PBE-GGA; SG = I4/mmm (139); DFT formation energy = -0.122 eV/atom; N(E_F) = 9.60 states/eV/f.u.; ρ = 6.7 Mg/m³; E = -3.80 eV/atom
1.0
-0.5227 5.7218 -2.5521
-2.7107 -4.2390 -3.7694
-2.8508 -0.0716 5.6030
Nd Zn Cu
4 2 1
Cartesian
-1.3554 -2.1195 -1.8847 Nd
-1.4254 -0.0358 2.8015 Nd
-3.0421 0.7056 -0.3592 Nd
-0.2613 2.8609 -1.2760 Nd
-1.6167 0.7414 -3.1607 Zn
-1.6867 2.8251 1.5255 Zn
0.0000 0.0000 0.0000 Cu

=====

Entry 3:
Nd2Zn2Cu, optimized geometry, DFT PBE-GGA; SG = C2/m (12); DFT formation energy = -0.271 eV/atom; N(E_F) = 4.09 states/eV/f.u.; ρ = 7.1 Mg/m³; E = -3.51 eV/atom
1.0
-4.4792 0.8146 0.3296
-2.4960 -2.6433 4.2195
-0.4246 8.0911 5.8380
Zn Cu Nd
4 2 4
Cartesian
-2.0555 0.9565 1.3087 Zn
-6.1119 2.3564 5.9377 Zn
-5.3443 5.3059 9.0784 Zn
-1.2880 3.9061 4.4494 Zn
-3.3275 5.4846 4.4379 Cu
-4.0723 0.7779 5.9493 Cu
-3.9468 2.4780 3.4537 Nd
-3.4531 3.7844 6.9335 Nd
-2.2188 -0.8936 3.6620 Nd
-5.1810 7.1561 6.7251 Nd

=====

Entry 4:
NdZnCu, optimized geometry, DFT PBE-GGA; SG = I4mm (107); DFT formation energy = -0.126 eV/atom; N(E_F) = 1.65 states/eV/f.u.; ρ = 7.4 Mg/m³; E = -3.50 eV/atom
1.0
-3.2044 -0.7714 1.1271
0.9082 -3.3503 0.2891
2.6214 2.8695 4.0342
Zn Nd Cu
1 1 1
Cartesian
-0.7153 -1.8233 2.1012 Zn
0.1774 -1.3334 4.9743 Nd
0.7465 0.4097 2.4026 Cu

=====

Entry 5:
Nd11Zn9Cu4, optimized geometry, DFT PBE-GGA; SG = Cmmm (65); DFT formation energy = -0.248 eV/atom; N(E_F) = 21.12 states/eV/f.u.; ρ = 7.1 Mg/m³; E = -3.59 eV/atom
1.0
3.7076 0.0000 0.0000
0.0000 11.8781 -5.0132
0.0000 0.0580 12.8926
Nd Zn Cu
11 9 4
Cartesian
0.0000 7.0451 9.1015 Nd
0.0000 8.4693 5.5908 Nd
0.0000 2.0622 9.8565 Nd
0.0000 11.1379 2.9015 Nd
0.0000 9.8739 -1.9772 Nd
0.0000 3.4668 2.2885 Nd
0.0000 4.4131 6.2952 Nd
0.0000 4.8910 -1.2222 Nd
0.0000 7.5230 1.5842 Nd
0.0000 0.7983 4.9778 Nd
0.0000 0.0000 0.0000 Nd
1.8538 11.0940 5.4672 Zn
1.8538 1.9956 7.2964 Zn
1.8538 9.9406 0.5829 Zn
1.8538 0.8421 2.4122 Zn
1.8538 9.3871 8.0530 Zn
1.8538 2.5491 -0.1736 Zn
1.8538 4.4425 8.9117 Zn
1.8538 5.9681 3.9397 Zn
1.8538 7.4936 -1.0324 Zn
1.8538 5.3382 0.9757 Cu
1.8538 6.5979 6.9037 Cu
1.8538 2.9950 4.5253 Cu
1.8538 8.9411 3.3541 Cu

=====

Entry 6:
Nd5Zn4Cu, optimized geometry, DFT PBE-GGA; SG = P4/mmm (123); DFT formation energy = -0.274 eV/atom; N(E_F) = 10.41 states/eV/f.u.; ρ = 7.0 Mg/m³; E = -3.58 eV/atom
1.0
-0.8796 -3.4132 1.0317
3.4723 -1.0615 -0.5516
4.0432 4.2049 17.3588
Zn Nd Cu
4 5 1
Cartesian
0.8033 0.8354 3.4487 Zn
3.2399 3.3695 13.9101 Zn
1.6103 1.6747 6.9135 Zn
2.4329 2.5302 10.4453 Zn
4.1366 0.7165 12.4342 Nd
3.3180 -0.1349 8.9194 Nd
4.9488 1.5612 15.9213 Nd
1.6871 -1.8310 1.9175 Nd
2.4993 -0.9863 5.4046 Nd
0.0000 0.0000 0.0000 Cu

=====

Entry 7:
Nd3Zn8Cu, optimized geometry, DFT PBE-GGA; SG = R3m (160); DFT formation energy = -0.221 eV/atom; N(E_F) = 4.23 states/eV/f.u.; ρ = 7.3 Mg/m³; E = -2.60 eV/atom
1.0
-3.9422 2.4734 2.8919
-5.2547 -0.6666 -1.4022
-3.5969 -6.5439 5.8845
Zn Nd Cu
8 3 1
Cartesian
-6.6661 0.7921 3.1935 Zn
-7.3176 -0.7666 1.0618 Zn
-4.7091 -0.4357 1.7579 Zn
-11.0901 -2.7425 5.3950 Zn
-9.1192 -3.9792 3.9492 Zn
-3.2946 -2.4784 2.8193 Zn
-8.4630 -2.4093 6.0961 Zn
-9.6927 -4.8628 6.5183 Zn
-6.3873 -2.2403 3.5904 Nd
-6.5909 -4.9789 5.6552 Nd
-9.2126 1.5948 1.6496 Nd
-9.4143 -1.1176 3.6946 Cu

=====

Entry 8:
Nd5ZnCu4, optimized geometry, DFT PBE-GGA; SG = P4/mmm (123); DFT formation energy = -0.174 eV/atom; N(E_F) = 8.36 states/eV/f.u.; ρ = 7.3 Mg/m³; E = -4.32 eV/atom
1.0
3.6109 0.0000 0.0000
0.0000 3.6109 0.0000
0.0000 0.0000 18.0889
Nd Cu Zn
5 4 1
Cartesian
1.8055 1.8055 1.8694 Nd
1.8055 1.8055 16.2196 Nd
1.8055 1.8055 12.6399 Nd
1.8055 1.8055 5.4490 Nd
1.8055 1.8055 9.0445 Nd
0.0000 0.0000 3.6581 Cu
0.0000 0.0000 7.2591 Cu
0.0000 0.0000 14.4308 Cu
0.0000 0.0000 10.8299 Cu
0.0000 0.0000 0.0000 Zn

=====

Entry 9:
NdZnCu, optimized geometry, DFT PBE-GGA; SG = F-43m (216); DFT formation energy = -0.108 eV/atom; N(E_F) = 3.36 states/eV/f.u.; ρ = 6.6 Mg/m³; E = -3.49 eV/atom
1.0
-2.8333 1.5100 3.2837
-3.6227 -2.5309 1.2493
-0.0586 -2.0558 4.1062
Nd Zn Cu
1 1 1
Cartesian
-3.2573 -1.5383 4.3196 Nd
0.0000 0.0000 0.0000 Zn
-1.6286 -0.7692 2.1598 Cu

=====

Entry 10:
Nd3Zn2Cu, optimized geometry, DFT PBE-GGA; SG = P4/mmm (123); DFT formation energy = -0.252 eV/atom; N(E_F) = 5.76 states/eV/f.u.; ρ = 7.1 Mg/m³; E = -3.74 eV/atom
1.0
3.6655 0.0000 0.0000
0.0000 3.6655 0.0000
0.0000 0.0000 10.9198
Zn Nd Cu
2 3 1
Cartesian
1.8327 1.8327 1.8131 Zn
1.8327 1.8327 9.1067 Zn
0.0000 0.0000 0.0000 Nd
0.0000 0.0000 3.6822 Nd
0.0000 0.0000 7.2376 Nd
1.8327 1.8327 5.4599 Cu

=====

Entry 11:
NdZn9Cu2, optimized geometry, DFT PBE-GGA; SG = I4_1/amd (141); offset from the most stable computed form = 0.0 meV per atom; DFT formation energy = -0.248 eV/atom; N(E_F) = 2.53 states/eV/f.u.; ρ = 7.6 Mg/m³; E = -2.28 eV/atom
1.0
-0.1759 -4.5185 -4.9947
7.3461 -1.9069 -3.0778
0.5626 -7.7854 2.4791
Nd Zn Cu
2 18 4
Cartesian
3.9104 -5.9758 -1.5481 Nd
-0.0879 -2.2593 -2.4973 Nd
3.1390 -2.8122 -1.5836 Zn
3.8225 -8.2350 -4.0454 Zn
5.4661 -8.4834 0.1387 Zn
3.4546 -9.1975 -1.4167 Zn
1.4872 -7.9384 -2.4864 Zn
0.9304 -6.8229 -0.1496 Zn
2.8979 -8.0820 0.9201 Zn
4.6143 -10.8745 -3.4305 Zn
0.6835 -5.4228 -2.4618 Zn
6.2651 -9.4439 -4.7828 Zn
2.3343 -3.9922 -3.8141 Zn
4.2578 -5.5374 -4.7561 Zn
6.2253 -6.7965 -3.6863 Zn
6.9108 -4.6045 -2.3671 Zn
4.9433 -3.3454 -3.4369 Zn
7.1169 -7.0528 -1.2136 Zn
0.0000 0.0000 0.0000 Zn
1.4881 -4.2428 -0.2313 Zn
5.4964 -7.3302 -6.0590 Cu
2.1046 -10.2695 -3.2805 Cu
1.8233 -6.3768 -4.5200 Cu
5.8656 -8.9637 -2.3221 Cu

=====

Entry 12:
Nd3Zn4Cu4, optimized geometry, DFT PBE-GGA; SG = P-1 (2); offset from the most stable computed form = 0.0 meV per atom; DFT formation energy = -0.255 eV/atom; N(E_F) = 6.54 states/eV/f.u.; ρ = 7.3 Mg/m³; E = -3.51 eV/atom
1.0
-1.8637 -2.2283 2.5466
-0.7040 -2.8712 -3.0389
10.1160 -8.5747 2.8447
Cu Zn Nd
4 4 3
Cartesian
-0.2019 -3.1249 0.0550 Cu
2.7393 -6.3022 -0.5798 Cu
7.7503 -10.5494 2.2974 Cu
4.8090 -7.3721 2.9323 Cu
4.3597 -5.5359 1.2813 Zn
6.9716 -8.5188 3.5139 Zn
0.5767 -5.1555 -1.1615 Zn
3.1885 -8.1384 1.0712 Zn
6.3721 -8.2178 0.4004 Nd
-1.8637 -2.2283 2.5465 Nd
1.1762 -5.4565 1.9521 Nd